[1]
! HfVOs, optimized geometry, DFT PBE-GGA; values from VASP
&SYSTEM
  ibrav = 0, nat = 6, ntyp = 3
/
ATOMIC_SPECIES
Os 190.23 Os.upf
Hf 178.49 Hf.upf
V 50.94 V.upf
CELL_PARAMETERS angstrom
-1.084 -0.706 4.939
3.830 -0.525 3.405
0.679 3.863 3.340
ATOMIC_POSITIONS crystal
Os 0.500 0.000 0.500
Os 0.500 0.500 0.000
Hf 0.128 0.622 0.622
Hf 0.872 0.378 0.378
V 0.500 0.000 0.000
V 0.000 0.000 0.000
! Crystal system = orthorhombic
! Size of the total moment = 0.00 μB/f.u.
! Symmetry = Imma (74)
! Distance to the lowest polymorph of the same formula = 0 meV per atom


[2]
! Ba4SeS3, optimized geometry, DFT PBE-GGA; values from VASP
&SYSTEM
  ibrav = 0, nat = 8, ntyp = 3
/
ATOMIC_SPECIES
Se 78.96 Se.upf
S 32.06 S.upf
Ba 137.33 Ba.upf
CELL_PARAMETERS angstrom
-1.770 -2.777 3.220
4.958 -5.819 -2.293
6.792 0.498 4.162
ATOMIC_POSITIONS crystal
Se 0.500 0.500 0.000
S 0.000 0.000 0.000
S 0.000 0.500 0.500
S 0.500 0.000 0.500
Ba 0.500 0.753 0.253
Ba 0.000 0.756 0.744
Ba 0.000 0.245 0.255
Ba 0.500 0.247 0.747
! Crystal system = orthorhombic
! Size of the total moment = 0.00 μB/f.u.
! E_form (uncorrected) = -2068 meV per atom
! Symmetry = Cmmm (65)


[3]
! K3Mg2Br7, optimized geometry, DFT PBE-GGA; values from VASP
&SYSTEM
  ibrav = 0, nat = 12, ntyp = 3
/
ATOMIC_SPECIES
Br 79.90 Br.upf
K 39.10 K.upf
Mg 24.30 Mg.upf
CELL_PARAMETERS angstrom
5.293 0.000 0.000
0.000 5.390 0.000
0.000 -2.695 13.897
ATOMIC_POSITIONS crystal
Br 0.000 0.000 0.000
Br 0.000 0.594 0.187
Br 0.000 0.193 0.386
Br 0.000 0.406 0.813
Br 0.000 0.807 0.614
Br 0.500 0.094 0.189
Br 0.500 0.906 0.811
K 0.500 0.326 0.651
K 0.500 0.500 0.000
K 0.500 0.674 0.349
Mg 0.000 0.900 0.801
Mg 0.000 0.100 0.199
! Crystal system = orthorhombic
! Size of the total moment = 0.00 μB/f.u.
! E_form (uncorrected) = -1557 meV per atom
! Symmetry = Cmmm (65)


[4]
! TbSm3Ho5, optimized geometry, DFT PBE-GGA; values from VASP
&SYSTEM
  ibrav = 0, nat = 18, ntyp = 3
/
ATOMIC_SPECIES
Ho 164.93 Ho.upf
Sm 150.36 Sm.upf
Tb 158.93 Tb.upf
CELL_PARAMETERS angstrom
9.367 -0.034 1.567
2.531 9.018 1.567
5.610 4.236 9.209
ATOMIC_POSITIONS crystal
Ho 0.344 0.845 0.250
Ho 0.656 0.155 0.750
Ho 0.507 0.507 0.774
Ho 0.493 0.493 0.226
Ho 0.185 0.185 0.039
Ho 0.815 0.815 0.961
Ho 0.845 0.344 0.250
Ho 0.742 0.258 0.000
Ho 0.155 0.656 0.750
Ho 0.258 0.742 0.000
Sm 0.000 0.000 0.000
Sm 0.340 0.340 0.638
Sm 0.301 0.301 0.190
Sm 0.000 0.000 0.500
Sm 0.699 0.699 0.810
Sm 0.660 0.660 0.362
Tb 0.848 0.848 0.401
Tb 0.152 0.152 0.599
! Crystal system = monoclinic
! Size of the total moment = 0.00 μB/f.u.
! Symmetry = C2/m (12)
! Distance to the lowest polymorph of the same formula = 359 meV per atom


no.,V (Å³/atom)
1,16.4
2,34.6
3,33.0
4,36.3